# 1
A relaxed Se6IBr12 crystal, computed with PBE-GGA.

```
Se6IBr12
1.0
10.203 3.724 1.599
1.861 10.700 1.599
3.114 3.724 9.846
Se I Br
6 1 12
direct
0.333 0.422 0.770
0.578 0.230 0.667
0.230 0.667 0.578
0.667 0.578 0.230
0.422 0.770 0.333
0.770 0.333 0.422
0.000 0.000 0.000
0.436 0.996 0.297
0.996 0.297 0.436
0.297 0.436 0.996
0.564 0.004 0.703
0.004 0.703 0.564
0.703 0.564 0.004
0.155 0.922 0.751
0.249 0.845 0.078
0.078 0.249 0.845
0.845 0.078 0.249
0.751 0.155 0.922
0.922 0.751 0.155
```

Summary:
M_tot (μB/f.u.): 0.0
Formation energy from raw total energies (eV per formula unit): 1.53

---

# 2
A relaxed Se2IBr crystal, computed with PBE-GGA.

```
Se2IBr
1.0
7.854 0.000 0.000
0.000 7.854 0.000
3.927 3.927 3.915
I Se Br
2 4 2
direct
0.000 0.000 0.000
0.750 0.250 0.500
0.630 0.125 0.250
0.120 0.625 0.250
0.375 0.370 0.750
0.875 0.880 0.750
0.500 0.500 0.000
0.250 0.750 0.500
```

Summary:
Distance to the lowest polymorph of the same formula (meV per atom): 578
M_tot (μB/f.u.): 0.0
Formation energy from raw total energies (eV per formula unit): 2.23

---

# 3
A relaxed SeIBr crystal, computed with PBE-GGA.

```
SeIBr
1.0
-2.630 2.004 4.310
3.506 -1.455 5.279
4.935 6.838 0.824
Se I Br
2 2 2
direct
0.310 0.704 0.037
0.290 0.399 0.216
0.520 0.407 0.481
0.658 0.931 0.641
0.948 0.998 0.107
0.782 0.513 0.796
```

Summary:
Distance to the lowest polymorph of the same formula (meV per atom): 33
M_tot (μB/f.u.): 0.0
Formation energy from raw total energies (eV per formula unit): -0.08

---

# 4
A relaxed SeIBr crystal, computed with PBE-GGA.

```
SeIBr
1.0
-1.964 3.718 -1.999
-2.477 -2.659 2.910
1.473 2.854 3.862
I Se Br
1 1 1
direct
0.333 0.667 0.588
0.667 0.333 0.388
0.000 0.000 0.024
```

Summary:
Distance to the lowest polymorph of the same formula (meV per atom): 408
M_tot (μB/f.u.): 0.0
Formation energy from raw total energies (eV per formula unit): 1.04

---

# 5
A relaxed SeIBr crystal, computed with PBE-GGA.

```
SeIBr
1.0
-0.303 5.357 2.282
-5.646 2.373 -3.123
-6.104 -0.746 5.015
Se I Br
2 2 2
direct
0.869 0.293 0.037
0.725 0.986 0.056
0.666 0.753 0.409
0.513 0.494 0.776
0.067 0.784 0.932
0.145 0.157 0.251
```

Summary:
Distance to the lowest polymorph of the same formula (meV per atom): 12
M_tot (μB/f.u.): 0.0
Formation energy from raw total energies (eV per formula unit): -0.15

---

# 6
A relaxed SeIBr crystal, computed with PBE-GGA.

```
SeIBr
1.0
5.102 0.086 -0.119
0.338 7.294 0.021
0.019 2.265 7.118
Se I Br
2 2 2
direct
0.319 0.992 0.753
0.681 0.008 0.247
0.693 0.236 0.457
0.307 0.764 0.543
0.723 0.778 0.056
0.277 0.222 0.944
```

Summary:
Distance to the lowest polymorph of the same formula (meV per atom): 196
M_tot (μB/f.u.): 0.0
Formation energy from raw total energies (eV per formula unit): 0.41

---

# 7
A relaxed Se7IBr12 crystal, computed with PBE-GGA.

```
Se7IBr12
1.0
10.626 -0.173 -2.129
-2.506 9.081 -2.097
-0.816 -0.905 8.062
Se I Br
7 1 12
direct
0.392 0.007 0.008
0.005 0.625 0.985
0.003 0.078 0.647
0.500 0.500 0.500
0.997 0.922 0.353
0.995 0.375 0.015
0.608 0.993 0.992
0.000 0.000 0.000
0.749 0.190 0.285
0.758 0.248 0.823
0.768 0.552 0.653
0.447 0.202 0.403
0.781 0.737 0.276
0.530 0.483 0.192
0.470 0.517 0.808
0.219 0.263 0.724
0.553 0.798 0.597
0.232 0.448 0.347
0.242 0.752 0.177
0.251 0.810 0.715
```

Summary:
M_tot (μB/f.u.): 0.5
Formation energy from raw total energies (eV per formula unit): 0.19

---

# 8
A relaxed SeIBr crystal, computed with PBE-GGA.

```
SeIBr
1.0
6.839 0.000 0.050
0.000 8.334 0.000
-1.192 0.000 10.652
Se I Br
4 4 4
direct
0.871 0.859 0.058
0.129 0.859 0.942
0.871 0.359 0.558
0.129 0.359 0.442
0.632 0.060 0.410
0.368 0.060 0.590
0.632 0.560 0.910
0.368 0.560 0.090
0.043 0.573 0.284
0.957 0.573 0.716
0.043 0.073 0.784
0.957 0.073 0.216
```

Summary:
Distance to the lowest polymorph of the same formula (meV per atom): 24
M_tot (μB/f.u.): 0.0
Formation energy from raw total energies (eV per formula unit): -0.11

---

Uncorrected energy: -2.16, -1.99, -2.26, -1.89, -2.28, -2.10, -2.29, -2.27 (eV/atom)